(1)
LiTcPt6: relaxed, PBE.

a b c (Å): 3.922 3.922 7.793
angles (deg): 90.00 90.00 90.00
Element x y z (fractional)
Pt  0.500  0.000  0.251
Pt  0.000  0.500  0.749
Tc  0.000  0.000  0.500
Pt  0.500  0.000  0.749
Pt  0.000  0.500  0.251
Li  0.000  0.000  0.000
Pt  0.500  0.500  0.000
Pt  0.500  0.500  0.500

Calculated values
E = -50.6 eV/f.u.
energy relative to the elements = -262 meV per atom
spin magnetization = 0.000 μB per atom
SG = P4/mmm



(2)
MnCu2Tc2: relaxed, PBE.

a b c (Å): 6.335 6.335 3.278
angles (deg): 90.00 90.00 90.00
Element x y z (fractional)
Tc  0.666  0.834  0.500
Mn  0.000  0.000  0.000
Cu  0.866  0.634  0.000
Tc  0.834  0.334  0.500
Cu  0.366  0.866  0.000
Mn  0.500  0.500  0.000
Cu  0.134  0.366  0.000
Tc  0.334  0.166  0.500
Cu  0.634  0.134  0.000
Tc  0.166  0.666  0.500

Calculated values
energy relative to the lowest polymorph listed for this composition = 89 meV/atom
E = -35.0 eV/f.u.
energy relative to the elements = 611 meV per atom
spin magnetization = 0.000 μB per atom
SG = P4/mbm



(3)
Mg2Co9Si6: relaxed, PBE.

a b c (Å): 5.007 5.007 10.795
angles (deg): 90.00 90.00 120.00
Element x y z (fractional)
Si  0.333  0.667  0.668
Si  0.333  0.667  0.000
Co  0.500  0.000  0.834
Co  0.000  0.500  0.834
Co  0.500  0.000  0.500
Mg  0.000  0.000  0.252
Co  0.500  0.500  0.500
Co  0.500  0.000  0.166
Si  0.667  0.333  0.332
Co  0.000  0.500  0.500
Si  0.667  0.333  0.668
Mg  0.000  0.000  0.748
Si  0.333  0.667  0.332
Co  0.000  0.500  0.166
Si  0.667  0.333  0.000
Co  0.500  0.500  0.834
Co  0.500  0.500  0.166

Calculated values
E = -103.6 eV/f.u.
spin magnetization = 0.219 μB per atom
E_form (uncorrected) = -0.233 eV per atom
SG = P6/mmm



(4)
PaCo2Ge: relaxed, PBE.

a b c (Å): 4.467 4.467 4.467
angles (deg): 60.00 60.00 60.00
Element x y z (fractional)
Co  0.750  0.750  0.750
Ge  0.500  0.500  0.500
Co  0.250  0.250  0.250
Pa  0.000  0.000  0.000

Calculated values
energy relative to the lowest polymorph listed for this composition = 261 meV/atom
E = -29.4 eV/f.u.
energy relative to the elements = -257 meV per atom
spin magnetization = 0.456 μB per atom
SG = Fm-3m



(5)
CrCdBr4: relaxed, PBE.

a b c (Å): 4.020 6.809 6.798
angles (deg): 93.25 90.00 90.00
Element x y z (fractional)
Br  0.000  0.221  0.671
Cr  0.500  0.000  0.500
Br  0.500  0.225  0.203
Br  0.500  0.775  0.797
Br  0.000  0.779  0.329
Cd  0.000  0.000  0.000

Calculated values
energy relative to the lowest polymorph listed for this composition = 0 meV/atom
E = -21.5 eV/f.u.
spin magnetization = 0.667 μB per atom
E_form (uncorrected) = -0.716 eV per atom
SG = P2/m



(6)
Sr2RhAu: relaxed, PBE.

a b c (Å): 6.505 6.505 6.505
angles (deg): 144.80 136.95 56.78
Element x y z (fractional)
Sr  0.017  0.017  0.000
Sr  0.737  0.237  0.500
Rh  0.288  0.788  0.500
Au  0.459  0.459  0.000

Calculated values
E = -15.3 eV/f.u.
energy relative to the elements = -317 meV per atom
spin magnetization = 0.000 μB per atom
SG = Imm2



(7)
CePrInGa: relaxed, PBE.

a b c (Å): 3.475 3.475 8.771
angles (deg): 90.00 90.00 90.00
Element x y z (fractional)
In  0.000  0.000  0.076
Ga  0.000  0.000  0.567
Pr  0.500  0.500  0.803
Ce  0.500  0.500  0.339

Calculated values
energy relative to the lowest polymorph listed for this composition = 0 meV/atom
E = -18.3 eV/f.u.
energy relative to the elements = -456 meV per atom
spin magnetization = 0.168 μB per atom
SG = P4mm



(8)
HAuCN2: relaxed, PBE.

a b c (Å): 4.344 4.106 4.344
angles (deg): 90.00 90.00 90.00
Element x y z (fractional)
N  0.500  0.000  0.000
N  0.000  0.000  0.500
Au  0.000  0.000  0.000
C  0.000  0.500  0.000
H  0.500  0.500  0.500

Calculated values
E = -16.7 eV/f.u.
spin magnetization = 0.696 μB per atom
SG = P4/mmm



(9)
KAg2PdF8: relaxed, PBE.

a b c (Å): 5.474 5.474 6.844
angles (deg): 113.57 113.57 90.00
Element x y z (fractional)
F  0.887  0.866  0.219
F  0.134  0.113  0.781
F  0.647  0.668  0.781
F  0.332  0.866  0.219
F  0.134  0.668  0.781
F  0.647  0.113  0.781
F  0.887  0.353  0.219
Ag  0.250  0.750  0.500
Pd  0.000  0.000  0.000
Ag  0.500  0.500  0.000
F  0.332  0.353  0.219
K  0.750  0.250  0.500

Calculated values
E = -42.5 eV/f.u.
spin magnetization = 0.077 μB per atom
E_form (uncorrected) = -1.293 eV per atom
SG = I-4m2



(10)
Dy2Y6Tm3Pu: relaxed, PBE.

a b c (Å): 6.124 6.124 11.677
angles (deg): 95.02 95.02 120.00
Element x y z (fractional)
Tm  0.167  0.833  0.500
Pu  0.000  0.000  0.000
Y  0.413  0.083  0.250
Dy  0.667  0.333  0.000
Dy  0.333  0.667  0.000
Y  0.917  0.587  0.750
Y  0.083  0.413  0.250
Y  0.247  0.247  0.750
Y  0.753  0.753  0.250
Y  0.587  0.917  0.750
Tm  0.833  0.167  0.500
Tm  0.500  0.500  0.500

Calculated values
E = -75.1 eV/f.u.
energy relative to the elements = 52 meV per atom
spin magnetization = 0.543 μB per atom
SG = C2/m



(11)
Pr8Y4Th: relaxed, PBE.

a b c (Å): 11.627 11.957 6.485
angles (deg): 102.75 131.51 112.21
Element x y z (fractional)
Pr  0.716  0.826  0.031
Pr  0.095  0.812  0.777
Th  0.843  0.421  0.494
Y  0.508  0.511  0.000
Y  0.924  0.970  0.817
Y  0.586  0.027  0.192
Pr  0.273  0.114  0.722
Pr  0.869  0.669  0.938
Pr  0.883  0.193  0.140
Y  0.153  0.580  0.434
Pr  0.393  0.750  0.276
Pr  0.203  0.363  0.066
Pr  0.553  0.265  0.613

Calculated values
E = -70.0 eV/f.u.
energy relative to the elements = 115 meV per atom
spin magnetization = 0.000 μB per atom
SG = P1



(12)
Ca2TlCoN: relaxed, PBE.

a b c (Å): 5.186 5.186 3.620
angles (deg): 90.00 90.00 90.00
Element x y z (fractional)
Co  0.000  0.000  0.500
N  0.000  0.000  0.000
Tl  0.500  0.500  0.500
Ca  0.000  0.500  0.000
Ca  0.500  0.000  0.000

Calculated values
E = -24.0 eV/f.u.
spin magnetization = 0.000 μB per atom
E_form (uncorrected) = -0.438 eV per atom
SG = P4/mmm



(13)
Pm3Nd4Sn5: relaxed, PBE.

a b c (Å): 5.602 6.598 12.681
angles (deg): 101.64 77.24 64.88
Element x y z (fractional)
Sn  0.544  0.027  0.884
Sn  0.129  0.519  0.223
Pm  0.555  0.221  0.668
Nd  0.167  0.690  0.975
Nd  0.805  0.128  0.262
Pm  0.000  0.500  0.500
Sn  0.456  0.973  0.116
Sn  0.500  0.500  0.500
Nd  0.833  0.310  0.025
Nd  0.195  0.872  0.738
Pm  0.445  0.779  0.332
Sn  0.871  0.481  0.777

Calculated values
E = -58.1 eV/f.u.
energy relative to the elements = -397 meV per atom
spin magnetization = 0.000 μB per atom
SG = C2/m